# 1
The following is a GGA-PBE calculation of an optimized crystal structure of SiMoPd, from Alexandria.

extended XYZ file:
```
6
Lattice="4.0011 0.0000 0.0000 2.0005 3.4650 0.0000 2.0005 1.1550 7.0472" Properties=species:S:1:pos:R:3 pbc="T T T"
Si 2.0005 1.1550 1.6776
Si 6.0016 3.4650 5.3696
Pd 4.0011 2.3100 6.2087
Pd 4.0011 2.3100 0.8385
Mo 6.0016 3.4650 2.7975
Mo 2.0005 1.1550 4.2496
```

Values from the calculation:
Formation energy (no corrections) = -0.191 eV per atom
Space group = No. 166

# 2
The following is a GGA-PBE calculation of an optimized crystal structure of PRhC2, from Alexandria.

extended XYZ file:
```
4
Lattice="-2.8733 0.1853 -0.4681 1.7375 -1.1610 -2.0354 -0.6952 -5.0307 2.2760" Properties=species:S:1:pos:R:3 pbc="T T T"
C -1.9564 -4.7498 1.0392
C -1.7746 -3.4347 0.4442
Rh 0.1345 -1.1902 -1.2967
P -0.3282 -2.3750 1.0745
```

Values from the calculation:
Energy of formation from the pure elements = 6.035 kcal/mol of atoms
Space group = No. 156

# 3
The following is a GGA-PBE calculation of an optimized crystal structure of LiCePrRh, from Alexandria.

extended XYZ file:
```
4
Lattice="-0.3479 5.0305 0.6146 -1.6105 1.9133 4.4216 3.2572 2.4164 3.0588" Properties=species:S:1:pos:R:3 pbc="T T T"
Li 0.0000 0.0000 0.0000
Pr 0.9742 7.0202 6.0712
Ce 0.3247 2.3401 2.0237
Rh 0.6494 4.6801 4.0475
```

Values from the calculation:
Energy of formation from the pure elements = -5.766 kcal/mol of atoms
Space group = No. 216

How do the records compare in total magnetic moment? In the order shown, they have 0.00 0.00 0.21 μB per atom.